Record 1
VASP calculation (PBE-GGA) on an optimized crystal structure of LaSm3Ni.

Values from the calculation:
DOS(E_F) ... 13.277 states/eV/cell
Space-group type ... Cm, No. 8

a b c (Å): 6.347 6.347 13.988
angles (deg): 111.38 111.38 34.54
Fractional positions:
La (0.000, 0.000, 0.000)
La (0.123, 0.123, 0.283)
Sm (0.106, 0.106, 0.623)
Sm (0.229, 0.229, 0.896)
Sm (0.440, 0.440, 0.386)
Sm (0.445, 0.445, 0.757)
Sm (0.788, 0.788, 0.143)
Sm (0.788, 0.788, 0.521)
Ni (0.469, 0.469, 0.140)
Ni (0.760, 0.760, 0.757)


Record 2
VASP calculation (PBE-GGA) on an optimized crystal structure of La2SmNi6.

Values from the calculation:
DOS(E_F) ... 10.659 states/eV/cell
Space-group type ... P6/mmm, No. 191

a b c (Å): 7.020 7.020 3.999
angles (deg): 90.00 90.00 120.00
Fractional positions:
La (0.333, 0.667, 0.000)
La (0.667, 0.333, 0.000)
Sm (0.000, 0.000, 0.000)
Ni (0.000, 0.332, 0.500)
Ni (0.000, 0.668, 0.500)
Ni (0.332, 0.000, 0.500)
Ni (0.332, 0.332, 0.500)
Ni (0.668, 0.000, 0.500)
Ni (0.668, 0.668, 0.500)


Record 3
VASP calculation (PBE-GGA) on an optimized crystal structure of LaSmNi4.

Values from the calculation:
Polymorph energy (0 for the lowest one) ... 0.000 eV per atom
DOS(E_F) ... 4.524 states/eV/cell
Space-group type ... F-43m, No. 216

a b c (Å): 5.174 5.174 5.174
angles (deg): 60.00 60.00 60.00
Fractional positions:
La (0.000, 0.000, 0.000)
Sm (0.250, 0.250, 0.250)
Ni (0.126, 0.625, 0.625)
Ni (0.625, 0.126, 0.625)
Ni (0.625, 0.625, 0.126)
Ni (0.625, 0.625, 0.625)


Record 4
VASP calculation (PBE-GGA) on an optimized crystal structure of La4SmNi2.

Values from the calculation:
DOS(E_F) ... 16.900 states/eV/cell
Space-group type ... P2_1/m, No. 11

a b c (Å): 7.985 6.732 8.272
angles (deg): 90.00 116.55 90.00
Fractional positions:
La (0.005, 0.250, 0.363)
La (0.283, 0.750, 0.365)
La (0.418, 0.016, 0.781)
La (0.418, 0.484, 0.781)
La (0.582, 0.516, 0.219)
La (0.582, 0.984, 0.219)
La (0.717, 0.250, 0.635)
La (0.995, 0.750, 0.637)
Sm (0.143, 0.250, 0.024)
Sm (0.857, 0.750, 0.976)
Ni (0.232, 0.750, 0.000)
Ni (0.356, 0.250, 0.399)
Ni (0.644, 0.750, 0.601)
Ni (0.768, 0.250, 0.000)


Record 5
VASP calculation (PBE-GGA) on an optimized crystal structure of LaSm2Ni.

Values from the calculation:
Polymorph energy (0 for the lowest one) ... 0.000 eV per atom
DOS(E_F) ... 17.498 states/eV/cell
Space-group type ... Pnma, No. 62

a b c (Å): 7.035 9.904 6.564
angles (deg): 90.00 90.00 90.00
Fractional positions:
La (0.037, 0.250, 0.142)
La (0.463, 0.750, 0.642)
La (0.537, 0.250, 0.358)
La (0.963, 0.750, 0.858)
Sm (0.173, 0.067, 0.674)
Sm (0.173, 0.433, 0.674)
Sm (0.327, 0.567, 0.174)
Sm (0.327, 0.933, 0.174)
Sm (0.673, 0.067, 0.826)
Sm (0.673, 0.433, 0.826)
Sm (0.827, 0.567, 0.326)
Sm (0.827, 0.933, 0.326)
Ni (0.117, 0.750, 0.435)
Ni (0.383, 0.250, 0.935)
Ni (0.617, 0.750, 0.065)
Ni (0.883, 0.250, 0.565)


Record 6
VASP calculation (PBE-GGA) on an optimized crystal structure of La2SmNi.

Values from the calculation:
Polymorph energy (0 for the lowest one) ... 0.259 eV per atom
DOS(E_F) ... 17.781 states/eV/cell
Space-group type ... R-3m, No. 166

a b c (Å): 3.758 3.758 31.483
angles (deg): 90.00 90.00 120.00
Fractional positions:
La (0.000, 0.000, 0.111)
La (0.000, 0.000, 0.889)
La (0.333, 0.667, 0.556)
La (0.333, 0.667, 0.777)
La (0.667, 0.333, 0.223)
La (0.667, 0.333, 0.444)
Sm (0.000, 0.000, 0.000)
Sm (0.333, 0.667, 0.667)
Sm (0.667, 0.333, 0.333)
Ni (0.000, 0.000, 0.500)
Ni (0.333, 0.667, 0.167)
Ni (0.667, 0.333, 0.833)


Record 7
VASP calculation (PBE-GGA) on an optimized crystal structure of LaSm2Ni.

Values from the calculation:
Polymorph energy (0 for the lowest one) ... 0.117 eV per atom
DOS(E_F) ... 15.423 states/eV/cell
Space-group type ... R3m, No. 160

a b c (Å): 3.902 3.902 27.763
angles (deg): 90.00 90.00 120.00
Fractional positions:
La (0.000, 0.000, 0.000)
La (0.333, 0.667, 0.667)
La (0.667, 0.333, 0.333)
Sm (0.000, 0.000, 0.555)
Sm (0.000, 0.000, 0.773)
Sm (0.333, 0.667, 0.222)
Sm (0.333, 0.667, 0.440)
Sm (0.667, 0.333, 0.107)
Sm (0.667, 0.333, 0.888)
Ni (0.000, 0.000, 0.163)
Ni (0.333, 0.667, 0.830)
Ni (0.667, 0.333, 0.497)


Record 8
VASP calculation (PBE-GGA) on an optimized crystal structure of La2SmNi2.

Values from the calculation:
DOS(E_F) ... 7.654 states/eV/cell
Space-group type ... Cmmm, No. 65

a b c (Å): 4.478 14.370 3.942
angles (deg): 90.00 90.00 90.00
Fractional positions:
La (0.000, 0.149, 0.000)
La (0.000, 0.851, 0.000)
La (0.500, 0.351, 0.000)
La (0.500, 0.649, 0.000)
Sm (0.000, 0.500, 0.500)
Sm (0.500, 0.000, 0.500)
Ni (0.000, 0.298, 0.500)
Ni (0.000, 0.702, 0.500)
Ni (0.500, 0.202, 0.500)
Ni (0.500, 0.798, 0.500)


Record 9
VASP calculation (PBE-GGA) on an optimized crystal structure of LaSm3Ni2.

Values from the calculation:
DOS(E_F) ... 14.760 states/eV/cell
Space-group type ... C2/m, No. 12

a b c (Å): 8.561 8.561 11.883
angles (deg): 123.59 123.59 26.70
Fractional positions:
La (0.154, 0.154, 0.252)
La (0.846, 0.846, 0.748)
Sm (0.154, 0.154, 0.749)
Sm (0.415, 0.415, 0.060)
Sm (0.419, 0.419, 0.555)
Sm (0.581, 0.581, 0.445)
Sm (0.585, 0.585, 0.940)
Sm (0.846, 0.846, 0.251)
Ni (0.232, 0.232, 0.048)
Ni (0.232, 0.232, 0.553)
Ni (0.768, 0.768, 0.447)
Ni (0.768, 0.768, 0.952)


Record 10
VASP calculation (PBE-GGA) on an optimized crystal structure of LaNi2Sn2.

Values from the calculation:
DOS(E_F) ... 7.114 states/eV/cell
Space-group type ... I4/mmm, No. 139

a b c (Å): 4.445 4.445 10.458
angles (deg): 90.00 90.00 90.00
Fractional positions:
La (0.000, 0.000, 0.000)
La (0.500, 0.500, 0.500)
Ni (0.000, 0.000, 0.384)
Ni (0.000, 0.000, 0.616)
Ni (0.500, 0.500, 0.116)
Ni (0.500, 0.500, 0.884)
Sn (0.000, 0.500, 0.250)
Sn (0.000, 0.500, 0.750)
Sn (0.500, 0.000, 0.250)
Sn (0.500, 0.000, 0.750)


Record 11
VASP calculation (PBE-GGA) on an optimized crystal structure of La4Ni2Sn.

Values from the calculation:
DOS(E_F) ... 15.219 states/eV/cell
Space-group type ... Fdd2, No. 43

a b c (Å): 8.389 8.128 9.752
angles (deg): 55.06 52.59 72.35
Fractional positions:
La (0.017, 0.983, 0.820)
La (0.070, 0.430, 0.267)
La (0.149, 0.509, 0.688)
La (0.430, 0.070, 0.233)
La (0.509, 0.149, 0.654)
La (0.562, 0.596, 0.101)
La (0.596, 0.562, 0.741)
La (0.983, 0.017, 0.180)
Ni (0.289, 0.290, 0.461)
Ni (0.289, 0.789, 0.960)
Ni (0.290, 0.289, 0.961)
Ni (0.789, 0.289, 0.961)
Sn (0.664, 0.664, 0.336)
Sn (0.914, 0.914, 0.586)


Record 12
VASP calculation (PBE-GGA) on an optimized crystal structure of La2NiSn.

Values from the calculation:
DOS(E_F) ... 3.818 states/eV/cell
Space-group type ... P4/mmm, No. 123

a b c (Å): 3.595 3.595 8.125
angles (deg): 90.00 90.00 90.00
Fractional positions:
La (0.000, 0.000, 0.212)
La (0.000, 0.000, 0.788)
Ni (0.500, 0.500, 0.000)
Sn (0.500, 0.500, 0.500)


Record 13
VASP calculation (PBE-GGA) on an optimized crystal structure of La2NiSn3.

Values from the calculation:
Polymorph energy (0 for the lowest one) ... 0.000 eV per atom
DOS(E_F) ... 6.518 states/eV/cell
Space-group type ... Cm, No. 8

a b c (Å): 11.598 4.665 7.621
angles (deg): 90.00 130.69 90.00
Fractional positions:
La (0.000, 0.000, 0.000)
La (0.125, 0.000, 0.659)
La (0.500, 0.500, 0.000)
La (0.625, 0.500, 0.659)
Ni (0.379, 0.000, 0.214)
Ni (0.879, 0.500, 0.214)
Sn (0.163, 0.500, 0.407)
Sn (0.256, 0.500, 0.092)
Sn (0.381, 0.000, 0.565)
Sn (0.663, 0.000, 0.407)
Sn (0.756, 0.000, 0.092)
Sn (0.881, 0.500, 0.565)


Record 14
VASP calculation (PBE-GGA) on an optimized crystal structure of LaNi3Sn.

Values from the calculation:
Polymorph energy (0 for the lowest one) ... 1.038 eV per atom
DOS(E_F) ... 4.350 states/eV/cell
Space-group type ... Pm-3m, No. 221

a b c (Å): 4.778 4.778 4.778
angles (deg): 90.00 90.00 90.00
Fractional positions:
La (0.000, 0.000, 0.000)
Ni (0.000, 0.000, 0.500)
Ni (0.000, 0.500, 0.000)
Ni (0.500, 0.000, 0.000)
Sn (0.500, 0.500, 0.500)


Record 15
VASP calculation (PBE-GGA) on an optimized crystal structure of LaNi2Sn4.

Values from the calculation:
DOS(E_F) ... 14.286 states/eV/cell
Space-group type ... Pnma, No. 62

a b c (Å): 19.184 4.446 7.159
angles (deg): 90.00 90.00 90.00
Fractional positions:
La (0.139, 0.250, 0.023)
La (0.361, 0.750, 0.523)
La (0.639, 0.250, 0.477)
La (0.861, 0.750, 0.977)
Ni (0.036, 0.750, 0.750)
Ni (0.209, 0.250, 0.495)
Ni (0.291, 0.750, 0.995)
Ni (0.464, 0.250, 0.250)
Ni (0.536, 0.750, 0.750)
Ni (0.709, 0.250, 0.005)
Ni (0.791, 0.750, 0.505)
Ni (0.964, 0.250, 0.250)
Sn (0.026, 0.750, 0.141)
Sn (0.068, 0.250, 0.507)
Sn (0.178, 0.750, 0.708)
Sn (0.204, 0.750, 0.294)
Sn (0.296, 0.250, 0.794)
Sn (0.322, 0.250, 0.208)
Sn (0.432, 0.750, 0.007)
Sn (0.474, 0.250, 0.641)
Sn (0.526, 0.750, 0.359)
Sn (0.568, 0.250, 0.993)
Sn (0.678, 0.750, 0.792)
Sn (0.704, 0.750, 0.206)
Sn (0.796, 0.250, 0.706)
Sn (0.822, 0.250, 0.292)
Sn (0.932, 0.750, 0.493)
Sn (0.974, 0.250, 0.859)


Record 16
VASP calculation (PBE-GGA) on an optimized crystal structure of LaNi3Sn.

Values from the calculation:
Polymorph energy (0 for the lowest one) ... 0.000 eV per atom
DOS(E_F) ... 5.269 states/eV/cell
Space-group type ... Cmmm, No. 65

a b c (Å): 5.030 7.357 5.178
angles (deg): 90.00 90.00 90.00
Fractional positions:
La (0.000, 0.000, 0.000)
La (0.500, 0.500, 0.000)
Ni (0.000, 0.165, 0.500)
Ni (0.000, 0.500, 0.000)
Ni (0.000, 0.835, 0.500)
Ni (0.500, 0.000, 0.000)
Ni (0.500, 0.335, 0.500)
Ni (0.500, 0.665, 0.500)
Sn (0.000, 0.500, 0.500)
Sn (0.500, 0.000, 0.500)


Record 17
VASP calculation (PBE-GGA) on an optimized crystal structure of La5Ni3Sn3.

Values from the calculation:
DOS(E_F) ... 7.520 states/eV/cell
Space-group type ... P-62m, No. 189

a b c (Å): 9.047 9.047 4.491
angles (deg): 90.00 90.00 120.00
Fractional positions:
La (0.000, 0.241, 0.000)
La (0.241, 0.000, 0.000)
La (0.333, 0.667, 0.000)
La (0.667, 0.333, 0.000)
La (0.759, 0.759, 0.000)
Ni (0.000, 0.552, 0.000)
Ni (0.448, 0.448, 0.000)
Ni (0.552, 0.000, 0.000)
Sn (0.000, 0.671, 0.500)
Sn (0.329, 0.329, 0.500)
Sn (0.671, 0.000, 0.500)


Record 18
VASP calculation (PBE-GGA) on an optimized crystal structure of La4NiSn.

Values from the calculation:
Polymorph energy (0 for the lowest one) ... 0.042 eV per atom
DOS(E_F) ... 12.951 states/eV/cell
Space-group type ... C2/c, No. 15

a b c (Å): 8.488 8.488 8.100
angles (deg): 105.30 105.30 41.93
Fractional positions:
La (0.060, 0.779, 0.559)
La (0.207, 0.440, 0.865)
La (0.221, 0.940, 0.941)
La (0.440, 0.207, 0.365)
La (0.560, 0.793, 0.635)
La (0.779, 0.060, 0.059)
La (0.793, 0.560, 0.135)
La (0.940, 0.221, 0.441)
Ni (0.000, 0.500, 0.500)
Ni (0.500, 0.000, 0.000)
Sn (0.361, 0.639, 0.250)
Sn (0.639, 0.361, 0.750)


Record 19
VASP calculation (PBE-GGA) on an optimized crystal structure of La2Ni3Sn5.

Values from the calculation:
Polymorph energy (0 for the lowest one) ... 0.000 eV per atom
DOS(E_F) ... 7.226 states/eV/cell
Space-group type ... Ibam, No. 72

a b c (Å): 8.943 8.943 8.943
angles (deg): 107.32 87.95 137.57
Fractional positions:
La (0.140, 0.238, 0.378)
La (0.360, 0.738, 0.098)
La (0.640, 0.262, 0.902)
La (0.860, 0.762, 0.622)
Ni (0.134, 0.891, 0.025)
Ni (0.250, 0.750, 0.500)
Ni (0.366, 0.391, 0.757)
Ni (0.634, 0.609, 0.243)
Ni (0.750, 0.250, 0.500)
Ni (0.866, 0.109, 0.975)
Sn (0.012, 0.750, 0.262)
Sn (0.092, 0.659, 0.752)
Sn (0.250, 0.250, 0.000)
Sn (0.408, 0.159, 0.567)
Sn (0.488, 0.750, 0.738)
Sn (0.512, 0.250, 0.262)
Sn (0.592, 0.841, 0.433)
Sn (0.750, 0.750, 0.000)
Sn (0.908, 0.341, 0.248)
Sn (0.988, 0.250, 0.738)


Record 20
VASP calculation (PBE-GGA) on an optimized crystal structure of La2NiSn.

Values from the calculation:
DOS(E_F) ... 11.899 states/eV/cell
Space-group type ... C2/c, No. 15

a b c (Å): 11.306 4.852 8.963
angles (deg): 90.00 113.36 90.00
Fractional positions:
La (0.166, 0.000, 0.083)
La (0.166, 0.000, 0.583)
La (0.334, 0.500, 0.417)
La (0.334, 0.500, 0.917)
La (0.666, 0.500, 0.083)
La (0.666, 0.500, 0.583)
La (0.834, 0.000, 0.417)
La (0.834, 0.000, 0.917)
Ni (0.000, 0.001, 0.250)
Ni (0.000, 0.999, 0.750)
Ni (0.500, 0.499, 0.750)
Ni (0.500, 0.501, 0.250)
Sn (0.000, 0.499, 0.750)
Sn (0.000, 0.501, 0.250)
Sn (0.500, 0.001, 0.250)
Sn (0.500, 0.999, 0.750)


Record 21
VASP calculation (PBE-GGA) on an optimized crystal structure of LaNi2Sn8.

Values from the calculation:
DOS(E_F) ... 6.263 states/eV/cell
Space-group type ... P4/mmm, No. 123

a b c (Å): 6.323 6.323 8.007
angles (deg): 90.00 90.00 90.00
Fractional positions:
La (0.000, 0.000, 0.000)
Ni (0.000, 0.500, 0.500)
Ni (0.500, 0.000, 0.500)
Sn (0.253, 0.253, 0.307)
Sn (0.253, 0.253, 0.693)
Sn (0.253, 0.747, 0.307)
Sn (0.253, 0.747, 0.693)
Sn (0.747, 0.253, 0.307)
Sn (0.747, 0.253, 0.693)
Sn (0.747, 0.747, 0.307)
Sn (0.747, 0.747, 0.693)


no.,ΔH_f (0 K) (eV/atom)
1,-0.129
2,-0.328
3,-0.337
4,-0.107
5,-0.194
6,0.076
7,-0.077
8,-0.249
9,-0.227
10,-0.472
11,-0.304
12,-0.469
13,-0.633
14,0.968
15,-0.406
16,-0.069
17,-0.367
18,-0.352
19,-0.558
20,-0.389
21,-0.131